## A
# TaVPd2C, relaxed, DFT GGA-PBE
data_TaVPd2C
_chemical_formula_sum 'Ta1 V1 Pd2 C1'
_cell_length_a 4.102
_cell_length_b 4.102
_cell_length_c 4.271
_cell_angle_alpha 90.00
_cell_angle_beta 90.00
_cell_angle_gamma 90.00
_symmetry_space_group_name_H-M 'P 4/m m m'
_symmetry_Int_Tables_number 123
_symmetry_space_group_name_Hall '-P 4 2'
loop_
_atom_site_label
_atom_site_fract_x
_atom_site_fract_y
_atom_site_fract_z
Ta1 0.000 0.000 0.000
V1 0.500 0.500 0.000
Pd1 0.000 0.500 0.500
C1 0.000 0.000 0.500
# * crystal system: tetragonal
# * D(E_F): 4.303 states/eV/f.u.


## B
# TaVPd2C, relaxed, DFT GGA-PBE
data_TaVPd2C
_chemical_formula_sum 'Ta1 V1 Pd2 C1'
_cell_length_a 4.648
_cell_length_b 4.648
_cell_length_c 3.755
_cell_angle_alpha 90.00
_cell_angle_beta 90.00
_cell_angle_gamma 90.00
_symmetry_space_group_name_H-M 'P 4/m m m'
_symmetry_Int_Tables_number 123
_symmetry_space_group_name_Hall '-P 4 2'
loop_
_atom_site_label
_atom_site_fract_x
_atom_site_fract_y
_atom_site_fract_z
Ta1 0.000 0.000 0.000
V1 0.500 0.500 0.500
Pd1 0.000 0.500 0.500
C1 0.500 0.500 0.000
# * crystal system: tetragonal
# * D(E_F): 4.408 states/eV/f.u.


Most stable one: A, least stable one: B.


## A
# Tb3PdC, relaxed, DFT GGA-PBE
data_Tb3PdC
_chemical_formula_sum 'Tb3 Pd1 C1'
_cell_length_a 4.864
_cell_length_b 4.864
_cell_length_c 4.864
_cell_angle_alpha 90.00
_cell_angle_beta 90.00
_cell_angle_gamma 90.00
_symmetry_space_group_name_H-M 'P m -3 m'
_symmetry_Int_Tables_number 221
_symmetry_space_group_name_Hall '-P 4 2 3'
loop_
_atom_site_label
_atom_site_fract_x
_atom_site_fract_y
_atom_site_fract_z
Tb1 0.000 0.000 0.500
Pd1 0.500 0.500 0.500
C1 0.000 0.000 0.000
# * crystal system: cubic
# * D(E_F): 4.561 states/eV/f.u.


## B
# Tb3PdC, relaxed, DFT GGA-PBE
data_Tb3PdC
_chemical_formula_sum 'Tb12 Pd4 C4'
_cell_length_a 8.754
_cell_length_b 3.676
_cell_length_c 13.814
_cell_angle_alpha 90.00
_cell_angle_beta 90.00
_cell_angle_gamma 90.00
_symmetry_space_group_name_H-M 'P n m a'
_symmetry_Int_Tables_number 62
loop_
_symmetry_equiv_pos_as_xyz
'x,y,z'
'-x,-y,-z'
'-x+1/2,-y,z+1/2'
'x+1/2,y,-z+1/2'
'x+1/2,-y+1/2,-z+1/2'
'-x+1/2,y+1/2,z+1/2'
'-x,y+1/2,-z'
'x,-y+1/2,z'
loop_
_atom_site_label
_atom_site_fract_x
_atom_site_fract_y
_atom_site_fract_z
Tb1 0.003 0.250 0.106
Tb2 0.177 0.250 0.531
Tb3 0.190 0.750 0.306
Pd1 0.094 0.750 0.686
C1 0.162 0.250 0.953
# * crystal system: orthorhombic
# * D(E_F): 4.228 states/eV/f.u.


Most stable one: B, least stable one: A.


## A
# TcPdC2, relaxed, DFT GGA-PBE
data_TcPdC2
_chemical_formula_sum 'Tc4 Pd4 C8'
_cell_length_a 5.444
_cell_length_b 5.444
_cell_length_c 5.444
_cell_angle_alpha 90.00
_cell_angle_beta 90.00
_cell_angle_gamma 90.00
_symmetry_space_group_name_H-M 'F m -3 m'
_symmetry_Int_Tables_number 225
_symmetry_space_group_name_Hall '-F 4 2 3'
loop_
_atom_site_label
_atom_site_fract_x
_atom_site_fract_y
_atom_site_fract_z
Tc1 0.000 0.000 0.000
Pd1 0.000 0.000 0.500
C1 0.250 0.250 0.250
# * crystal system: cubic
# * D(E_F): 1.775 states/eV/f.u.


## B
# TcPdC2, relaxed, DFT GGA-PBE
data_TcPdC2
_chemical_formula_sum 'Tc4 Pd4 C8'
_cell_length_a 4.682
_cell_length_b 4.682
_cell_length_c 9.337
_cell_angle_alpha 90.00
_cell_angle_beta 90.00
_cell_angle_gamma 90.00
_symmetry_space_group_name_H-M 'I -4 2 d'
_symmetry_Int_Tables_number 122
_symmetry_space_group_name_Hall 'I -4 2bw'
loop_
_atom_site_label
_atom_site_fract_x
_atom_site_fract_y
_atom_site_fract_z
Tc1 0.000 0.000 0.000
Pd1 0.000 0.000 0.500
C1 0.221 0.250 0.125
# * crystal system: tetragonal
# * D(E_F): 2.952 states/eV/f.u.


Most stable one: B, least stable one: A.